# 1
This record from Alexandria via LeMat-Bulk describes a relaxed Rb3Sm2MnSe6 crystal. The functional is GGA-PBE.

a = 7.4354 Å, b = 12.4212 Å, c = 8.3948 Å
α = 90.00°, β = 108.00°, γ = 90.00°
Closest atoms and distances in Å follow each position.
Space group C2/m (No. 12)
One atom of each set of equivalent atoms:
Rb1 0.0000 0.0000 0.0000  6 Se 3.41-3.42
Rb2 0.0000 0.3270 0.0000  6 Se 3.38-3.62
Sm1 0.0000 0.1626 0.5000  6 Se 2.89-3.01
Mn1 0.0000 0.5000 0.5000  4 Se 2.60
Se1 0.2094 0.3504 0.6819  1 Mn 2.60
Se2 0.2365 0.0000 0.7103  2 Sm 2.89, 1 Mn 3.02

## Properties
Total energy   -4.88 eV per atom
N(E_F)   0.2 states/eV/f.u.
Formation energy (no corrections)   -16.104 eV per formula unit



# 2
This record from Alexandria via LeMat-Bulk describes a relaxed RbSmMnSe4 crystal. The functional is GGA-PBE.

a = 6.7602 Å, b = 6.6630 Å, c = 9.6461 Å
α = 90.00°, β = 108.70°, γ = 90.00°
Closest atoms and distances in Å follow each position.
Space group P2_1/m (No. 11)
One atom of each set of equivalent atoms:
Rb1 0.2380 0.2500 0.4387  8 Se 3.54-3.71
Sm1 0.2653 0.2500 0.9510  6 Se 2.97-3.02
Mn1 0.2825 0.7500 0.1751  4 Se 2.31-2.33
Se1 0.0839 0.7500 0.3298  1 Mn 2.31
Se2 0.0949 0.7500 0.9287  1 Mn 2.31
Se3 0.4756 0.5100 0.7878  1 Mn 2.33

## Properties
Total energy   -5.21 eV per atom
N(E_F)   3.2 states/eV/f.u.
Formation energy (no corrections)   -7.683 eV per formula unit



# 3
This record from Alexandria via LeMat-Bulk describes a relaxed Rb2Mn2SnSe6 crystal. The functional is GGA-PBE.

a = 6.6474 Å, b = 11.6490 Å, c = 8.3700 Å
α = 90.00°, β = 103.94°, γ = 90.00°
Closest atoms and distances in Å follow each position.
Space group C2/m (No. 12)
One atom of each set of equivalent atoms:
Rb1 0.0000 0.1603 0.0000  6 Se 3.42-3.53, 1 Rb 3.73
Mn1 0.0000 0.3329 0.5000  6 Se 2.54-2.58
Sn1 0.0000 0.0000 0.5000  6 Se 2.81
Se1 0.1889 0.5000 0.6757  2 Mn 2.58, 1 Sn 2.81
Se2 0.2346 0.1809 0.6731  2 Mn 2.54-2.56, 1 Sn 2.81

## Properties
Total energy   -4.76 eV per atom
N(E_F)   6.8 states/eV/f.u.
Formation energy (no corrections)   -7.216 eV per formula unit



# 4
This record from Alexandria via LeMat-Bulk describes a relaxed RbMnSn2Se6 crystal. The functional is GGA-PBE.

a = 14.1920 Å, b = 13.9326 Å, c = 6.8355 Å
α = 90.00°, β = 107.39°, γ = 90.00°
Closest atoms and distances in Å follow each position.
Space group C2/c (No. 15)
One atom of each set of equivalent atoms:
Rb1 0.0000 0.1188 0.2500  10 Se 3.72-3.83, 2 Mn 3.97
Mn1 0.0000 0.2639 0.7500  4 Se 2.37-2.47
Sn1 0.2155 0.4187 0.2147  4 Se 2.58-2.63
Se1 0.0351 0.3664 0.0400  1 Mn 2.37, 1 Sn 2.59
Se2 0.1150 0.1260 0.8279  1 Mn 2.47, 1 Sn 2.58
Se3 0.2264 0.4015 0.6041  2 Sn 2.63

## Properties
Total energy   -4.31 eV per atom
N(E_F)   3.8 states/eV/f.u.
Formation energy (no corrections)   -4.056 eV per formula unit



# 5
This record from Alexandria via LeMat-Bulk describes a relaxed Rb2TaMnSe4 crystal. The functional is GGA-PBE.

a = 5.7780 Å, b = 14.4944 Å, c = 25.5615 Å
α = 90.00°, β = 90.00°, γ = 90.00°
Closest atoms and distances in Å follow each position.
Space group Fddd (No. 70, origin choice 2)
One atom of each set of equivalent atoms:
Rb1 0.1250 0.1250 0.3025  8 Se 3.61-3.92
Ta1 0.1250 0.1250 0.6250  4 Se 2.46
Mn1 0.1250 0.1250 0.1250  4 Se 2.50
Se1 0.1183 0.2751 0.8201  1 Ta 2.46, 1 Mn 2.50

## Properties
Total energy   -5.55 eV per atom
N(E_F)   1.3 states/eV/f.u.
Formation energy (no corrections)   -7.479 eV per formula unit



# 6
This record from Alexandria via LeMat-Bulk describes a relaxed RbTbMn2Se4 crystal. The functional is GGA-PBE.

a = 6.9095 Å, b = 8.2283 Å, c = 8.9075 Å
α = 90.00°, β = 90.00°, γ = 90.00°
Closest atoms and distances in Å follow each position.
Space group I222 (No. 23)
One atom of each set of equivalent atoms:
Rb1 0.0000 0.0000 0.0000  8 Se 3.58-3.61
Tb1 0.0000 0.0000 0.5000  4 Se 2.78
Mn1 0.0000 0.5000 0.1091  1 Mn 1.94
Se1 0.2478 0.3266 0.8170  1 Mn 2.32

## Properties
Total energy   -5.35 eV per atom
Formation energy (no corrections)   -4.950 eV per formula unit



# 7
This record from Alexandria via LeMat-Bulk describes a relaxed Rb3Tb3MnSe8 crystal. The functional is GGA-PBE.

a = 8.2362 Å, b = 8.2362 Å, c = 24.4913 Å
α = 90.00°, β = 90.00°, γ = 120.00°
Closest atoms and distances in Å follow each position.
Space group R-3m (No. 166, hexagonal axes)
One atom of each set of equivalent atoms:
Rb1 0.0000 0.5000 0.0000  6 Se 3.43-3.46
Tb1 0.0000 0.5000 0.5000  6 Se 2.87-2.90
Mn1 0.0000 0.0000 0.5000  6 Se 2.60
Se1 0.0000 0.0000 0.2325  3 Tb 2.87
Se2 0.0328 0.5164 0.2268  1 Mn 2.60, 2 Tb 2.90

## Properties
Total energy   -5.01 eV per atom
N(E_F)   0.2 states/eV/f.u.
Formation energy (no corrections)   -21.281 eV per formula unit



# 8
This record from Alexandria via LeMat-Bulk describes a relaxed Rb3Tb2MnSe6 crystal. The functional is GGA-PBE.

a = 7.3528 Å, b = 12.2735 Å, c = 8.3728 Å
α = 90.00°, β = 107.85°, γ = 90.00°
Closest atoms and distances in Å follow each position.
Space group C2/m (No. 12)
One atom of each set of equivalent atoms:
Rb1 0.0000 0.0000 0.0000  6 Se 3.40-3.41
Rb2 0.0000 0.3272 0.0000  6 Se 3.38-3.58
Tb1 0.0000 0.1625 0.5000  6 Se 2.85-2.97
Mn1 0.0000 0.5000 0.5000  4 Se 2.59
Se1 0.2110 0.3482 0.6808  1 Mn 2.59
Se2 0.2341 0.0000 0.7071  2 Tb 2.85, 1 Mn 2.99

## Properties
Total energy   -4.87 eV per atom
N(E_F)   0.3 states/eV/f.u.
Formation energy (no corrections)   -16.218 eV per formula unit



# 9
This record from Alexandria via LeMat-Bulk describes a relaxed Rb2Tb2MnSe6 crystal. The functional is GGA-PBE.

a = 7.0324 Å, b = 12.0182 Å, c = 8.5418 Å
α = 90.00°, β = 106.90°, γ = 90.00°
Closest atoms and distances in Å follow each position.
Space group C2/m (No. 12)
One atom of each set of equivalent atoms:
Rb1 0.0000 0.1735 0.0000  6 Se 3.44-3.55
Tb1 0.0000 0.3323 0.5000  6 Se 2.88-2.89
Mn1 0.0000 0.0000 0.5000  6 Se 2.56-2.58
Se1 0.2178 0.1493 0.6858  1 Mn 2.58, 2 Tb 2.88-2.89
Se2 0.2324 0.0000 0.3180  1 Mn 2.56

## Properties
Total energy   -5.06 eV per atom
Formation energy (no corrections)   -14.440 eV per formula unit



# 10
This record from Alexandria via LeMat-Bulk describes a relaxed RbTbMnSe4 crystal. The functional is GGA-PBE.

a = 6.7127 Å, b = 6.6580 Å, c = 9.6027 Å
α = 90.00°, β = 108.79°, γ = 90.00°
Closest atoms and distances in Å follow each position.
Space group P2_1/m (No. 11)
One atom of each set of equivalent atoms:
Rb1 0.2423 0.2500 0.4403  8 Se 3.50-3.72
Tb1 0.2658 0.2500 0.9507  6 Se 2.92-2.98
Mn1 0.2792 0.7500 0.1723  4 Se 2.30-2.33
Se1 0.0788 0.7500 0.3276  1 Mn 2.31
Se2 0.0848 0.7500 0.9264  1 Mn 2.30
Se3 0.4764 0.5095 0.7928  1 Mn 2.33

## Properties
Total energy   -5.19 eV per atom
N(E_F)   3.4 states/eV/f.u.
Formation energy (no corrections)   -7.591 eV per formula unit



# 11
This record from Alexandria via LeMat-Bulk describes a relaxed RbTbMnSe3 crystal. The functional is GGA-PBE.

a = 9.3643 Å, b = 4.2555 Å, c = 10.0916 Å
α = 90.00°, β = 109.13°, γ = 90.00°
Closest atoms and distances in Å follow each position.
Space group P2_1/m (No. 11)
One atom of each set of equivalent atoms:
Rb1 0.2108 0.2500 0.2373  7 Se 3.50-3.76
Tb1 0.3323 0.7500 0.8614  6 Se 2.84-3.06
Mn1 0.0862 0.2500 0.6099  4 Se 2.46-2.62
Se1 0.1174 0.2500 0.8616  1 Mn 2.46
Se2 0.2012 0.7500 0.5412  3 Mn 2.58-2.62
Se3 0.4678 0.7500 0.1575  3 Tb 2.84-2.88

## Properties
Total energy   -5.50 eV per atom
Formation energy (no corrections)   -7.806 eV per formula unit



# 12
This record from Alexandria via LeMat-Bulk describes a relaxed Rb2MnTeSe4 crystal. The functional is GGA-PBE.

a = 11.9653 Å, b = 11.4793 Å, c = 7.7556 Å
α = 90.00°, β = 107.55°, γ = 90.00°
Closest atoms and distances in Å follow each position.
Space group C2/c (No. 15)
One atom of each set of equivalent atoms:
Rb1 0.0000 0.0000 0.0000  2 Se 3.38
Rb2 0.2500 0.2500 0.0000  6 Se 3.31-3.54
Mn1 0.0000 0.5000 0.0000  6 Se 2.58-2.74
Te1 0.2500 0.2500 0.5000  4 Se 2.87-2.94
Se1 0.0386 0.2849 0.6130  1 Se 2.56, 1 Mn 2.61
Se2 0.1562 0.4671 0.3371  2 Mn 2.58-2.74, 1 Te 2.87

## Properties
Total energy   -4.05 eV per atom
N(E_F)   3.4 states/eV/f.u.
Formation energy (no corrections)   -4.181 eV per formula unit



Q: The lowest formation energy (no corrections) belongs to which entry?
A: Rb3Tb3MnSe8



Q: The highest total energy belongs to which entry?
A: Rb2MnTeSe4



Q: Number 12 is which compound?
A: Rb2MnTeSe4